Below is a relaxed structure of AlTcNi3, with properties calculated at the PBE level.

* calculated formation energy: 471 kJ/mol of formula units
* DOS at the Fermi energy: 7.701 states/eV per cell
* volume: 14.97 Å³ per atom
* magnetization: 4.0 μB per formula unit
* excess energy over the best structure of this formula in the dataset: 0 meV per atom

Cell lengths 4.214, 4.214, 4.214 Å; angles 90.00, 90.00, 90.00 degrees
Space group Pm-3m (No. 221)
Inequivalent atoms, fractional coordinates:
Al (0.000, 0.000, 0.000) x1
Tc (0.500, 0.500, 0.500) x1
Ni (0.000, 0.000, 0.500) x3

---

Below is a relaxed structure of RbAl8Ag6, with properties calculated at the PBE level.

* calculated formation energy: 104 kJ/mol of formula units
* DOS at the Fermi energy: 20.876 states/eV per cell
* volume: 19.70 Å³ per atom
* magnetization: 0.0 μB per formula unit

Cell lengths 8.0622, 8.0622, 15.7479 Å; angles 90.00, 90.00, 120.00 degrees
Space group R-3 (No. 148, hexagonal axes)
Inequivalent atoms, fractional coordinates:
Rb (0.0000, 0.0000, 0.0000) x3
Al (0.0000, 0.0000, 0.2261) x6
Al (0.0022, 0.3382, 0.1403) x18
Ag (0.0184, 0.2179, 0.6345) x18

---

Below is a relaxed structure of Pr6Sm5Tm, with properties calculated at the PBE level.

* calculated formation energy: 15 kJ/mol of formula units
* DOS at the Fermi energy: 32.265 states/eV per cell
* volume: 34.62 Å³ per atom
* magnetization: 0.0 μB per formula unit

Cell lengths 6.354, 11.008, 12.065 Å; angles 90.00, 100.11, 90.00 degrees
Space group C2/m (No. 12)
Inequivalent atoms, fractional coordinates:
Pr (0.249, 0.166, 0.249) x8
Pr (0.250, 0.000, 0.751) x4
Sm (0.000, 0.166, 0.500) x4
Sm (0.000, 0.333, 0.000) x4
Sm (0.000, 0.500, 0.500) x2
Tm (0.000, 0.000, 0.000) x2

---

Below is a relaxed structure of Pr4Zn3Hg, with properties calculated at the PBE level.

* calculated formation energy: -229 kJ/mol of formula units
* DOS at the Fermi energy: 8.217 states/eV per cell
* volume: 26.77 Å³ per atom
* magnetization: 0.0 μB per formula unit
* excess energy over the best structure of this formula in the dataset: 42 meV per atom

Cell lengths 3.729, 4.688, 12.254 Å; angles 90.00, 90.00, 90.00 degrees
Space group Pmm2 (No. 25)
Inequivalent atoms, fractional coordinates:
Pr (0.000, 0.000, 0.000) x1
Pr (0.000, 0.500, 0.297) x1
Pr (0.500, 0.000, 0.489) x1
Pr (0.500, 0.500, 0.804) x1
Zn (0.000, 0.500, 0.575) x1
Zn (0.500, 0.000, 0.212) x1
Zn (0.500, 0.500, 0.083) x1
Hg (0.000, 0.000, 0.712) x1

---

Below is a relaxed structure of Sm4Mg2Al, with properties calculated at the PBE level.

* calculated formation energy: -12 kJ/mol of formula units
* DOS at the Fermi energy: 13.601 states/eV per cell
* volume: 30.33 Å³ per atom
* magnetization: 0.0 μB per formula unit

Cell lengths 7.497, 7.497, 7.554 Å; angles 90.00, 90.00, 90.00 degrees
Space group I4/mmm (No. 139)
Inequivalent atoms, fractional coordinates:
Sm (0.250, 0.250, 0.250) x8
Mg (0.000, 0.500, 0.000) x4
Al (0.000, 0.000, 0.000) x2

---

Below is a relaxed structure of Ti3AlH, with properties calculated at the PBE level.

* uncorrected energy: -191.460 eV per cell
* DOS at the Fermi energy: 42.719 states/eV per cell
* volume: 13.71 Å³ per atom
* magnetization: 0.0 μB per formula unit

Cell lengths 7.3542, 7.3542, 8.7804 Å; angles 90.00, 90.00, 120.00 degrees
Space group R-3c (No. 167, hexagonal axes)
Inequivalent atoms, fractional coordinates:
Ti (0.0000, 0.2512, 0.2500) x18
Al (0.0000, 0.0000, 0.0000) x6
H (0.0000, 0.0000, 0.2500) x6

---

Below is a relaxed structure of SrTl2SiHg, with properties calculated at the PBE level.

* DOS at the Fermi energy: 4.735 states/eV per cell
* formation energy (no corrections): 953 meV per atom
* volume: 44.96 Å³ per atom
* magnetization: 0.0 μB per formula unit

Cell lengths 6.182, 6.182, 5.882 Å; angles 90.00, 90.00, 90.00 degrees
Space group P4/mmm (No. 123)
Inequivalent atoms, fractional coordinates:
Sr (0.000, 0.000, 0.000) x1
Tl (0.000, 0.500, 0.000) x2
Si (0.500, 0.500, 0.500) x1
Hg (0.000, 0.000, 0.500) x1

---

Below is a relaxed structure of Pr2Pu2Ni15, with properties calculated at the PBE level.

* calculated formation energy: -261 kJ/mol of formula units
* DOS at the Fermi energy: 104.530 states/eV per cell
* volume: 13.98 Å³ per atom
* magnetization: 3.1 μB per formula unit

Cell lengths 8.5347, 8.5347, 12.6360 Å; angles 90.00, 90.00, 120.00 degrees
Space group R-3m (No. 166, hexagonal axes)
Inequivalent atoms, fractional coordinates:
Pr (0.0000, 0.0000, 0.1473) x6
Pu (0.0000, 0.0000, 0.4108) x6
Ni (0.0000, 0.3126, 0.5000) x18
Ni (0.0000, 0.5000, 0.0000) x9
Ni (0.0001, 0.5000, 0.3410) x18

---

Below is a relaxed structure of LiS, with properties calculated at the PBE level.

* DOS at the Fermi energy: 0.856 states/eV per cell
* formation energy (no corrections): -720 meV per atom
* volume: 20.02 Å³ per atom
* magnetization: 0.0 μB per formula unit
* excess energy over the best structure of this formula in the dataset: 179 meV per atom

Cell lengths 4.785, 4.785, 13.988 Å; angles 90.00, 90.00, 90.00 degrees
Space group I-42m (No. 121)
Inequivalent atoms, fractional coordinates:
Li (0.000, 0.000, 0.224) x4
Li (0.000, 0.500, 0.000) x4
S (0.157, 0.157, 0.620) x8

---

Below is a relaxed structure of Ti4S8N, with properties calculated at the PBE level.

* DOS at the Fermi energy: 2.039 states/eV per cell
* formation energy (no corrections): -782 meV per atom
* volume: 22.90 Å³ per atom
* magnetization: 3.0 μB per formula unit

Cell lengths 5.898, 3.413, 14.920 Å; angles 90.00, 97.63, 90.00 degrees
Space group Pm (No. 6)
Inequivalent atoms, fractional coordinates:
Ti (0.000, 0.000, 0.000) x1
Ti (0.141, 0.000, 0.429) x1
Ti (0.500, 0.500, 0.000) x1
Ti (0.641, 0.500, 0.429) x1
S (0.007, 0.500, 0.526) x1
S (0.134, 0.500, 0.903) x1
S (0.275, 0.500, 0.333) x1
S (0.366, 0.000, 0.096) x1
S (0.507, 0.000, 0.526) x1
S (0.634, 0.000, 0.903) x1
S (0.776, 0.000, 0.333) x1
S (0.865, 0.500, 0.096) x1
N (0.904, 0.000, 0.711) x1

---

Below is a relaxed structure of AcPrNd5Y2, with properties calculated at the PBE level.

* calculated formation energy: 119 kJ/mol of formula units
* DOS at the Fermi energy: 44.781 states/eV per cell
* volume: 36.89 Å³ per atom
* magnetization: 0.0 μB per formula unit

Cell lengths 5.674, 24.441, 9.575 Å; angles 90.00, 90.00, 90.00 degrees
Space group Cmc2_1 (No. 36)
Inequivalent atoms, fractional coordinates:
Ac (0.000, 0.103, 0.000) x4
Pr (0.000, 0.264, 0.608) x4
Nd (0.000, 0.024, 0.324) x4
Nd (0.000, 0.103, 0.604) x4
Nd (0.000, 0.190, 0.301) x4
Nd (0.000, 0.241, 0.933) x4
Nd (0.000, 0.493, 0.102) x4
Y (0.000, 0.330, 0.245) x4
Y (0.000, 0.388, 0.859) x4

---

Below is a relaxed structure of TlAgTe2, with properties calculated at the PBE level.

* DOS at the Fermi energy: 2.125 states/eV per cell
* formation energy (no corrections): -49 meV per atom
* volume: 35.24 Å³ per atom
* magnetization: 0.0 μB per formula unit

Cell lengths 4.842, 6.269, 9.287 Å; angles 90.00, 90.00, 90.00 degrees
Space group Amm2 (No. 38)
Inequivalent atoms, fractional coordinates:
Tl (0.000, 0.000, 0.000) x2
Ag (0.500, 0.000, 0.496) x2
Te (0.500, 0.250, 0.246) x4

---

Below is a relaxed structure of Y2W, with properties calculated at the PBE level.

* calculated formation energy: 200 kJ/mol of formula units
* DOS at the Fermi energy: 5.801 states/eV per cell
* volume: 24.87 Å³ per atom
* magnetization: 0.0 μB per formula unit
* excess energy over the best structure of this formula in the dataset: 446 meV per atom

Cell lengths 3.2639, 3.2639, 8.0874 Å; angles 90.00, 90.00, 120.00 degrees
Space group P-3m1 (No. 164)
Inequivalent atoms, fractional coordinates:
Y (0.3333, 0.6667, 0.2965) x2
W (0.0000, 0.0000, 0.0000) x1

---

Below is a relaxed structure of NaTlCd2Ag, with properties calculated at the PBE level.

* calculated formation energy: 64 kJ/mol of formula units
* DOS at the Fermi energy: 2.682 states/eV per cell
* volume: 30.83 Å³ per atom
* magnetization: 0.0 μB per formula unit

Cell lengths 5.324, 5.324, 5.439 Å; angles 90.00, 90.00, 90.00 degrees
Space group P4/mmm (No. 123)
Inequivalent atoms, fractional coordinates:
Na (0.000, 0.000, 0.000) x1
Tl (0.500, 0.500, 0.000) x1
Cd (0.000, 0.500, 0.500) x2
Ag (0.000, 0.000, 0.500) x1

---

Below is a relaxed structure of RbSn2Cl2, with properties calculated at the PBE level.

* DOS at the Fermi energy: 5.776 states/eV per cell
* formation energy (no corrections): -395 meV per atom
* volume: 33.31 Å³ per atom
* magnetization: 0.0 μB per formula unit
* excess energy over the best structure of this formula in the dataset: 117 meV per atom

Cell lengths 9.697, 9.697, 3.542 Å; angles 90.00, 90.00, 90.00 degrees
Space group P4/mbm (No. 127)
Inequivalent atoms, fractional coordinates:
Rb (0.000, 0.000, 0.000) x2
Sn (0.102, 0.398, 0.000) x4
Cl (0.171, 0.671, 0.500) x4

---

Below is a relaxed structure of Ca3AgB, with properties calculated at the PBE level.

* calculated formation energy: 421 kJ/mol of formula units
* DOS at the Fermi energy: 3.747 states/eV per cell
* volume: 35.36 Å³ per atom
* magnetization: 0.7 μB per formula unit
* excess energy over the best structure of this formula in the dataset: 708 meV per atom

Cell lengths 5.613, 5.613, 5.613 Å; angles 90.00, 90.00, 90.00 degrees
Space group Pm-3m (No. 221)
Inequivalent atoms, fractional coordinates:
Ca (0.000, 0.000, 0.500) x3
Ag (0.000, 0.000, 0.000) x1
B (0.500, 0.500, 0.500) x1

---

Below is a relaxed structure of Rb2TiTcO6, with properties calculated at the PBE level.

* DOS at the Fermi energy: 21.940 states/eV per cell
* formation energy (no corrections): -1921 meV per atom
* volume: 14.16 Å³ per atom
* magnetization: 0.0 μB per formula unit

Cell lengths 5.8848, 5.8848, 28.3319 Å; angles 90.00, 90.00, 120.00 degrees
Space group R-3m (No. 166, hexagonal axes)
Inequivalent atoms, fractional coordinates:
Rb (0.0000, 0.0000, 0.1321) x6
Rb (0.0000, 0.0000, 0.2827) x6
Ti (0.0000, 0.0000, 0.0000) x3
Ti (0.0000, 0.0000, 0.5000) x3
Tc (0.0000, 0.0000, 0.4055) x6
O (0.0069, 0.5035, 0.2951) x18
O (0.0480, 0.5240, 0.1196) x18

---

Below is a relaxed structure of CaZnPb2W, with properties calculated at the PBE level.

* calculated formation energy: 338 kJ/mol of formula units
* DOS at the Fermi energy: 4.487 states/eV per cell
* volume: 33.12 Å³ per atom
* magnetization: 0.0 μB per formula unit

Cell lengths 5.397, 5.397, 5.685 Å; angles 90.00, 90.00, 90.00 degrees
Space group P4/mmm (No. 123)
Inequivalent atoms, fractional coordinates:
Ca (0.000, 0.000, 0.000) x1
Zn (0.500, 0.500, 0.000) x1
Pb (0.000, 0.500, 0.500) x2
W (0.000, 0.000, 0.500) x1

---

Below is a relaxed structure of Tb3Pm6Dy2Tm, with properties calculated at the PBE level.

* calculated formation energy: 14 kJ/mol of formula units
* DOS at the Fermi energy: 27.985 states/eV per cell
* volume: 32.78 Å³ per atom
* magnetization: 0.0 μB per formula unit

Cell lengths 6.241, 10.807, 11.847 Å; angles 90.00, 100.08, 90.00 degrees
Space group C2/m (No. 12)
Inequivalent atoms, fractional coordinates:
Tb (0.000, 0.000, 0.000) x2
Tb (0.000, 0.333, 0.000) x4
Pm (0.250, 0.000, 0.749) x4
Pm (0.250, 0.166, 0.251) x8
Dy (0.000, 0.167, 0.500) x4
Tm (0.000, 0.500, 0.500) x2

---

Below is a relaxed structure of Mg2TiPd4, with properties calculated at the PBE level.

* calculated formation energy: -335 kJ/mol of formula units
* DOS at the Fermi energy: 6.180 states/eV per cell
* volume: 16.85 Å³ per atom
* magnetization: 0.0 μB per formula unit

Cell lengths 4.156, 4.156, 13.654 Å; angles 90.00, 90.00, 90.00 degrees
Space group I4/mmm (No. 139)
Inequivalent atoms, fractional coordinates:
Mg (0.000, 0.000, 0.245) x4
Ti (0.000, 0.000, 0.500) x2
Pd (0.000, 0.500, 0.114) x8

---

Below is a relaxed structure of CaTaSi2, with properties calculated at the PBE level.

* DOS at the Fermi energy: 3.495 states/eV per cell
* formation energy (no corrections): -94 meV per atom
* volume: 17.94 Å³ per atom
* magnetization: 0.0 μB per formula unit
* excess energy over the best structure of this formula in the dataset: 158 meV per atom

Cell lengths 10.438, 2.941, 4.741 Å; angles 90.00, 99.59, 90.00 degrees
Space group Cm (No. 8)
Inequivalent atoms, fractional coordinates:
Ca (0.000, 0.000, 0.000) x2
Ta (0.285, 0.000, 0.427) x2
Si (0.058, 0.500, 0.518) x2
Si (0.237, 0.500, 0.919) x2

---

Below is a relaxed structure of Pu2NiPt, with properties calculated at the PBE level.

* calculated formation energy: -144 kJ/mol of formula units
* DOS at the Fermi energy: 69.292 states/eV per cell
* volume: 20.52 Å³ per atom
* magnetization: 11.1 μB per formula unit
* excess energy over the best structure of this formula in the dataset: 74 meV per atom

Cell lengths 6.898, 6.898, 6.898 Å; angles 90.00, 90.00, 90.00 degrees
Space group Fm-3m (No. 225)
Inequivalent atoms, fractional coordinates:
Pu (0.250, 0.250, 0.250) x8
Ni (0.000, 0.000, 0.000) x4
Pt (0.000, 0.000, 0.500) x4

---

Below is a relaxed structure of La3TlCd, with properties calculated at the PBE level.

* calculated formation energy: -139 kJ/mol of formula units
* DOS at the Fermi energy: 25.793 states/eV per cell
* volume: 32.16 Å³ per atom
* magnetization: 0.8 μB per formula unit
* excess energy over the best structure of this formula in the dataset: 0 meV per atom

Cell lengths 5.616, 20.415, 5.611 Å; angles 90.00, 90.00, 90.00 degrees
Space group Cmcm (No. 63)
Inequivalent atoms, fractional coordinates:
La (0.000, 0.059, 0.250) x4
La (0.000, 0.250, 0.250) x4
La (0.000, 0.441, 0.250) x4
Tl (0.000, 0.151, 0.750) x4
Cd (0.000, 0.350, 0.750) x4